Record 1
Entry from the Alexandria database: a geometry-optimized Ac2SiTe structure (GGA-PBE).

For the offset from the most stable computed form, the calculation gives 299 meV per atom.

It has space group Fm-3m (No. 225), with a = 7.982 Å, b = 7.982 Å, c = 7.982 Å, α = 90.00°, β = 90.00° and γ = 90.00°. The distinct sites, in fractional coordinates, are Ac at (0.250, 0.250, 0.250), Si at (0.000, 0.000, 0.000) and Te at (0.000, 0.000, 0.500).

Record 2
Entry from the Alexandria database: a geometry-optimized Ac2SiTe structure (GGA-PBE).

For the offset from the most stable computed form, the calculation gives 236 meV per atom.

It has space group P4/mmm (No. 123), with a = 3.910 Å, b = 3.910 Å, c = 8.258 Å, α = 90.00°, β = 90.00° and γ = 90.00°. The distinct sites, in fractional coordinates, are Ac at (0.000, 0.000, 0.231), Si at (0.500, 0.500, 0.000) and Te at (0.500, 0.500, 0.500).

Record 3
Entry from the Alexandria database: a geometry-optimized Ac8Si5Te structure (GGA-PBE).

It has space group I-4 (No. 82), with a = 9.778 Å, b = 9.778 Å, c = 9.682 Å, α = 90.00°, β = 90.00° and γ = 90.00°. The distinct sites, in fractional coordinates, are Ac at (0.064, 0.189, 0.185), Ac at (0.073, 0.328, 0.563), Si at (0.000, 0.500, 0.250), Si at (0.130, 0.253, 0.875) and Te at (0.000, 0.000, 0.500).

Record 4
Entry from the Alexandria database: a geometry-optimized Ac4Si2Te structure (GGA-PBE).

It has space group I-42d (No. 122), with a = 9.850 Å, b = 9.850 Å, c = 9.680 Å, α = 90.00°, β = 90.00° and γ = 90.00°. The distinct sites, in fractional coordinates, are Ac at (0.070, 0.176, 0.318), Si at (0.136, 0.250, 0.625) and Te at (0.000, 0.000, 0.000).

Record 5
Entry from the Alexandria database: a geometry-optimized Ac12Si6Te structure (GGA-PBE).

It has space group Im-3 (No. 204), with a = 10.917 Å, b = 10.917 Å, c = 10.917 Å, α = 90.00°, β = 90.00° and γ = 90.00°. The distinct sites, in fractional coordinates, are Ac at (0.000, 0.192, 0.298), Si at (0.000, 0.391, 0.500) and Te at (0.000, 0.000, 0.000).

Record 6
Entry from the Alexandria database: a geometry-optimized AcSiTe structure (GGA-PBE).

It has space group P1 (No. 1), with a = 4.243 Å, b = 6.108 Å, c = 7.729 Å, α = 91.09°, β = 98.46° and γ = 103.38°. The distinct sites, in fractional coordinates, are Ac at (0.000, 0.000, 0.000), Ac at (0.282, 0.539, 0.573), Si at (0.468, 0.089, 0.707), Si at (0.905, 0.948, 0.568), Te at (0.341, 0.568, 0.016) and Te at (0.659, 0.202, 0.321).

Record 7
Entry from the Alexandria database: a geometry-optimized Ac3SiTe6 structure (GGA-PBE).

It has space group Cmc2_1 (No. 36), with a = 12.815 Å, b = 15.870 Å, c = 7.792 Å, α = 90.00°, β = 90.00° and γ = 90.00°. The distinct sites, in fractional coordinates, are Ac at (0.000, 0.103, 0.000), Ac at (0.182, 0.401, 0.911), Si at (0.000, 0.304, 0.363), Te at (0.000, 0.282, 0.711), Te at (0.000, 0.460, 0.226), Te at (0.161, 0.029, 0.704) and Te at (0.164, 0.241, 0.206).

Record 8
Entry from the Alexandria database: a geometry-optimized AcSi2Te6 structure (GGA-PBE).

It has space group C2/c (No. 15), with a = 14.404 Å, b = 12.595 Å, c = 7.282 Å, α = 90.00°, β = 109.29° and γ = 90.00°. The distinct sites, in fractional coordinates, are Ac at (0.000, 0.176, 0.250), Si at (0.203, 0.432, 0.211), Te at (0.109, 0.061, 0.687), Te at (0.130, 0.280, 0.982) and Te at (0.147, 0.395, 0.503).

Record 9
Entry from the Alexandria database: a geometry-optimized Ac4SiTe3 structure (GGA-PBE).

It has space group Cmmm (No. 65), with a = 9.508 Å, b = 13.346 Å, c = 4.676 Å, α = 90.00°, β = 90.00° and γ = 90.00°. The distinct sites, in fractional coordinates, are Ac at (0.000, 0.236, 0.000), Ac at (0.227, 0.000, 0.500), Si at (0.000, 0.000, 0.000), Te at (0.000, 0.500, 0.000) and Te at (0.250, 0.250, 0.500).

Record 10
Entry from the Alexandria database: a geometry-optimized Ac6TlSi2Te3 structure (GGA-PBE).

It has space group C2/m (No. 12), with a = 20.659 Å, b = 4.645 Å, c = 9.614 Å, α = 90.00°, β = 104.11° and γ = 90.00°. The distinct sites, in fractional coordinates, are Ac at (0.009, 0.000, 0.256), Ac at (0.168, 0.500, 0.106), Ac at (0.174, 0.500, 0.567), Tl at (0.000, 0.500, 0.000), Si at (0.167, 0.000, 0.335), Te at (0.000, 0.500, 0.500) and Te at (0.165, 0.000, 0.832).

Record 11
Entry from the Alexandria database: a geometry-optimized AcThSi structure (GGA-PBE).

It has space group P4/nmm (No. 129, origin choice 2), with a = 5.124 Å, b = 5.124 Å, c = 7.302 Å, α = 90.00°, β = 90.00° and γ = 90.00°. The distinct sites, in fractional coordinates, are Ac at (0.250, 0.750, 0.000), Th at (0.250, 0.750, 0.500) and Si at (0.250, 0.250, 0.271).

Record 12
Entry from the Alexandria database: a geometry-optimized Ac2ThSi2 structure (GGA-PBE).

It has space group Immm (No. 71), with a = 4.513 Å, b = 6.567 Å, c = 10.203 Å, α = 90.00°, β = 90.00° and γ = 90.00°. The distinct sites, in fractional coordinates, are Ac at (0.000, 0.000, 0.201), Th at (0.000, 0.500, 0.000) and Si at (0.000, 0.307, 0.500).

Record 13
Entry from the Alexandria database: a geometry-optimized Ac3ThSi7 structure (GGA-PBE).

It has space group Cmcm (No. 63), with a = 4.506 Å, b = 19.665 Å, c = 12.062 Å, α = 90.00°, β = 90.00° and γ = 90.00°. The distinct sites, in fractional coordinates, are Ac at (0.000, 0.106, 0.050), Ac at (0.000, 0.247, 0.750), Th at (0.000, 0.048, 0.750), Si at (0.000, 0.269, 0.029), Si at (0.000, 0.364, 0.149), Si at (0.000, 0.428, 0.750) and Si at (0.000, 0.488, 0.096).

Record 14
Entry from the Alexandria database: a geometry-optimized AcTiSi structure (GGA-PBE).

It has space group Cmmm (No. 65), with a = 5.072 Å, b = 5.080 Å, c = 11.302 Å, α = 90.00°, β = 90.00° and γ = 90.00°. The distinct sites, in fractional coordinates, are Ac at (0.000, 0.000, 0.187), Ti at (0.000, 0.500, 0.407), Si at (0.000, 0.000, 0.500) and Si at (0.000, 0.500, 0.000).

Record 15
Entry from the Alexandria database: a geometry-optimized Ac5Tl4Si structure (GGA-PBE).

It has space group I4/m (No. 87), with a = 10.878 Å, b = 10.878 Å, c = 6.358 Å, α = 90.00°, β = 90.00° and γ = 90.00°. The distinct sites, in fractional coordinates, are Ac at (0.000, 0.000, 0.000), Ac at (0.126, 0.251, 0.500), Tl at (0.066, 0.360, 0.000) and Si at (0.000, 0.000, 0.500).

Record 16
Entry from the Alexandria database: a geometry-optimized Ac6TlSi structure (GGA-PBE).

It has space group C2/m (No. 12), with a = 7.817 Å, b = 12.930 Å, c = 7.497 Å, α = 90.00°, β = 114.36° and γ = 90.00°. The distinct sites, in fractional coordinates, are Ac at (0.211, 0.189, 0.245), Ac at (0.236, 0.000, 0.767), Tl at (0.000, 0.500, 0.500) and Si at (0.000, 0.000, 0.000).

Record 17
Entry from the Alexandria database: a geometry-optimized Ac12Tl6Si structure (GGA-PBE).

It has space group R-3 (No. 148, hexagonal axes), with a = 13.2960 Å, b = 13.2960 Å, c = 14.8829 Å, α = 90.00°, β = 90.00° and γ = 120.00°. The distinct sites, in fractional coordinates, are Ac at (0.0329, 0.8394, 0.3755), Ac at (0.0404, 0.1976, 0.8914), Tl at (0.0043, 0.4023, 0.7617) and Si at (0.0000, 0.0000, 0.5000).

Record 18
Entry from the Alexandria database: a geometry-optimized Ac2TlSi2 structure (GGA-PBE).

For the offset from the most stable computed form, the calculation gives 0 meV per atom.

It has space group Cmmm (No. 65), with a = 4.057 Å, b = 15.776 Å, c = 4.486 Å, α = 90.00°, β = 90.00° and γ = 90.00°. The distinct sites, in fractional coordinates, are Ac at (0.000, 0.135, 0.000), Tl at (0.000, 0.500, 0.500) and Si at (0.000, 0.292, 0.500).

Record 19
Entry from the Alexandria database: a geometry-optimized AcTlSi structure (GGA-PBE).

For the offset from the most stable computed form, the calculation gives 126 meV per atom.

It has space group Cmce (No. 64), with a = 6.470 Å, b = 11.927 Å, c = 8.935 Å, α = 90.00°, β = 90.00° and γ = 90.00°. The distinct sites, in fractional coordinates, are Ac at (0.000, 0.169, 0.096), Tl at (0.250, 0.082, 0.750) and Si at (0.000, 0.087, 0.435).

Record 20
Entry from the Alexandria database: a geometry-optimized Ac2TlSi structure (GGA-PBE).

It has space group P4/mmm (No. 123), with a = 4.082 Å, b = 4.082 Å, c = 7.609 Å, α = 90.00°, β = 90.00° and γ = 90.00°. The distinct sites, in fractional coordinates, are Ac at (0.000, 0.000, 0.219), Tl at (0.500, 0.500, 0.500) and Si at (0.500, 0.500, 0.000).

Record 21
Entry from the Alexandria database: a geometry-optimized Ac2TlSi structure (GGA-PBE).

It has space group Amm2 (No. 38), with a = 7.274 Å, b = 4.841 Å, c = 14.839 Å, α = 90.00°, β = 90.00° and γ = 90.00°. The distinct sites, in fractional coordinates, are Ac at (0.000, 0.000, 0.000), Ac at (0.000, 0.000, 0.257), Ac at (0.500, 0.000, 0.163), Ac at (0.500, 0.000, 0.453), Tl at (0.295, 0.000, 0.818) and Si at (0.176, 0.000, 0.621).

Record 22
Entry from the Alexandria database: a geometry-optimized Ac6TlSi2 structure (GGA-PBE).

For the offset from the most stable computed form, the calculation gives 135 meV per atom.

It has space group C2/m (No. 12), with a = 12.701 Å, b = 6.303 Å, c = 10.179 Å, α = 90.00°, β = 126.51° and γ = 90.00°. The distinct sites, in fractional coordinates, are Ac at (0.086, 0.000, 0.386), Ac at (0.158, 0.500, 0.682), Ac at (0.159, 0.500, 0.057), Tl at (0.000, 0.000, 0.000) and Si at (0.100, 0.500, 0.326).

Sequential formation energy (no corrections) output: -0.79 -0.86 -0.64 -0.76 -0.49 -0.76 -1.13 -0.36 -1.34 -1.01 -0.25 -0.49 -0.54 -0.10 -0.23 -0.03 -0.20 -0.56 -0.31 -0.36 -0.45 -0.23 eV/atom